1.
## SnBi2O6 (GGA-PBE)

Data for SnBi2O6 after structural relaxation.

Theoretical density   7.23 g/cm3
Total magnetic moment   0.000 μB per atom
Calculated total energy   -5.7655 eV/atom
Volume   290.6 Å³ per cell

The structure in CIF format:
```
data_SnBi2O6
_chemical_formula_sum 'Sn2 Bi4 O12'
_symmetry_space_group_name_H-M 'P 1'
_symmetry_Int_Tables_number 1
_cell_length_a 5.738
_cell_length_b 5.455
_cell_length_c 9.283
_cell_angle_alpha 90.00
_cell_angle_beta 90.01
_cell_angle_gamma 90.00
loop_
_symmetry_equiv_pos_as_xyz
'x,y,z'
loop_
_atom_site_label
_atom_site_type_symbol
_atom_site_fract_x
_atom_site_fract_y
_atom_site_fract_z
O1 O 0.679 0.174 0.500
O2 O 0.339 0.711 0.165
Bi1 Bi 0.000 0.500 0.195
O3 O 0.661 0.289 0.165
Sn1 Sn 0.500 0.500 0.000
Bi2 Bi 0.000 0.500 0.805
O4 O 0.161 0.211 0.665
O5 O 0.661 0.289 0.835
O6 O 0.839 0.789 0.335
Bi3 Bi 0.500 0.000 0.695
O7 O 0.821 0.674 0.000
O8 O 0.161 0.211 0.335
O9 O 0.179 0.326 0.000
Sn2 Sn 0.000 0.000 0.500
O10 O 0.339 0.711 0.835
O11 O 0.321 0.826 0.500
Bi4 Bi 0.500 0.000 0.305
O12 O 0.839 0.789 0.665
```

=====

2.
## Pm6Ge2PdSe3 (GGA-PBE)

Data for Pm6Ge2PdSe3 after structural relaxation.

Theoretical density   6.98 g/cm3
Total magnetic moment   0.000 μB per atom
Calculated total energy   -5.7933 eV/atom
Volume   323.2 Å³ per cell

The structure in CIF format:
```
data_Pm6Ge2PdSe3
_chemical_formula_sum 'Pm6 Ge2 Pd1 Se3'
_symmetry_space_group_name_H-M 'P 1'
_symmetry_Int_Tables_number 1
_cell_length_a 4.217
_cell_length_b 8.533
_cell_length_c 9.509
_cell_angle_alpha 104.00
_cell_angle_beta 102.81
_cell_angle_gamma 90.00
loop_
_symmetry_equiv_pos_as_xyz
'x,y,z'
loop_
_atom_site_label
_atom_site_type_symbol
_atom_site_fract_x
_atom_site_fract_y
_atom_site_fract_z
Ge1 Ge 0.835 0.669 0.670
Pm1 Pm 0.333 0.909 0.666
Pd1 Pd 0.500 0.000 0.000
Ge2 Ge 0.165 0.331 0.330
Pm2 Pm 0.669 0.578 0.338
Se1 Se 0.833 0.166 0.666
Se2 Se 0.167 0.834 0.334
Pm3 Pm 0.998 0.751 0.995
Pm4 Pm 0.331 0.422 0.662
Se3 Se 0.500 0.500 0.000
Pm5 Pm 0.002 0.249 0.005
Pm6 Pm 0.667 0.091 0.334
```

=====

3.
## YCu2GeC (GGA-PBE)

Data for YCu2GeC after structural relaxation.

Theoretical density   6.40 g/cm3
Total magnetic moment   0.000 μB per atom
Calculated total energy   -5.4556 eV/atom
Volume   78.0 Å³ per cell

The structure in CIF format:
```
data_YCu2GeC
_chemical_formula_sum 'Y1 Cu2 Ge1 C1'
_symmetry_space_group_name_H-M 'P 1'
_symmetry_Int_Tables_number 1
_cell_length_a 3.949
_cell_length_b 5.003
_cell_length_c 3.949
_cell_angle_alpha 90.00
_cell_angle_beta 90.00
_cell_angle_gamma 90.00
loop_
_symmetry_equiv_pos_as_xyz
'x,y,z'
loop_
_atom_site_label
_atom_site_type_symbol
_atom_site_fract_x
_atom_site_fract_y
_atom_site_fract_z
Cu1 Cu 0.000 0.000 0.500
Cu2 Cu 0.500 0.000 0.000
Y1 Y 0.500 0.500 0.500
Ge1 Ge 0.000 0.500 0.000
C1 C 0.000 0.000 0.000
```